Computed, not measured: a relaxed NaPa2TcN5 crystal at the PBE level of DFT.

Cell: 7.3788 7.3788 7.3788 Å, 126.05 126.05 79.81°
Element x y z (fractional)
Na: 0.2500 0.2500 0.0000
Na: 0.7500 0.7500 0.0000
Pa: 0.1846 0.6846 0.8691
Pa: 0.3154 0.1846 0.5000
Pa: 0.6846 0.8154 0.5000
Pa: 0.8154 0.3154 0.1309
Tc: 0.2500 0.7500 0.5000
Tc: 0.7500 0.2500 0.5000
N: 0.0000 0.0000 0.0000
N: 0.0106 0.2282 0.5000
N: 0.2282 0.7282 0.2176
N: 0.2718 0.4894 0.5000
N: 0.4894 0.9894 0.2176
N: 0.5000 0.5000 0.0000
N: 0.5106 0.0106 0.7824
N: 0.7282 0.5106 0.5000
N: 0.7718 0.2718 0.7824
N: 0.9894 0.7718 0.5000

Computed properties:
Uncorrected formation energy = -0.8762 eV/atom
Space group = I4/mcm


Computed, not measured: a relaxed Na3Pa2TcN6 crystal at the PBE level of DFT.

Cell: 5.8768 5.8768 6.0179 Å, 99.12 99.12 120.08°
Element x y z (fractional)
Na: 0.0000 0.0000 0.0000
Na: 0.3461 0.6539 0.0000
Na: 0.6539 0.3461 0.0000
Pa: 0.1670 0.8330 0.5000
Pa: 0.8330 0.1670 0.5000
Tc: 0.5000 0.5000 0.5000
N: 0.1240 0.4387 0.3111
N: 0.2428 0.2428 0.6886
N: 0.4387 0.1240 0.3111
N: 0.5613 0.8760 0.6889
N: 0.7572 0.7572 0.3114
N: 0.8760 0.5613 0.6889

Computed properties:
Uncorrected formation energy = -0.7641 eV/atom
Space group = C2/m


Computed, not measured: a relaxed NaPa3Tc4N12 crystal at the PBE level of DFT.

Cell: 7.3086 7.3086 7.3086 Å, 106.90 106.90 106.90°
Element x y z (fractional)
Na: 0.0000 0.0000 0.0000
Pa: 0.0000 0.5458 0.4542
Pa: 0.4542 0.0000 0.5458
Pa: 0.5458 0.4542 0.0000
Tc: 0.0483 0.5000 0.9517
Tc: 0.5000 0.5000 0.5000
Tc: 0.5000 0.9517 0.0483
Tc: 0.9517 0.0483 0.5000
N: 0.0540 0.6474 0.7937
N: 0.1108 0.8892 0.5000
N: 0.2063 0.3526 0.9460
N: 0.3454 0.6546 0.5000
N: 0.3526 0.9460 0.2063
N: 0.5000 0.1108 0.8892
N: 0.5000 0.3454 0.6546
N: 0.6474 0.7937 0.0540
N: 0.6546 0.5000 0.3454
N: 0.7937 0.0540 0.6474
N: 0.8892 0.5000 0.1108
N: 0.9460 0.2063 0.3526

Computed properties:
Uncorrected formation energy = -0.2798 eV/atom
Space group = R32


Computed, not measured: a relaxed NaPaTc2N6 crystal at the PBE level of DFT.

Cell: 7.1712 7.1712 5.9027 Å, 102.15 102.15 82.54°
Element x y z (fractional)
Na: 0.0645 0.9355 0.7500
Na: 0.9355 0.0645 0.2500
Pa: 0.3251 0.6749 0.2500
Pa: 0.6749 0.3251 0.7500
Tc: 0.1949 0.4074 0.7425
Tc: 0.4074 0.1949 0.2425
Tc: 0.5926 0.8051 0.7575
Tc: 0.8051 0.5926 0.2575
N: 0.0075 0.7248 0.3251
N: 0.1434 0.6479 0.8961
N: 0.2752 0.9925 0.1749
N: 0.3384 0.3899 0.4933
N: 0.3521 0.8566 0.6039
N: 0.3899 0.3384 0.9933
N: 0.6101 0.6616 0.0067
N: 0.6479 0.1434 0.3961
N: 0.6616 0.6101 0.5067
N: 0.7248 0.0075 0.8251
N: 0.8566 0.3521 0.1039
N: 0.9925 0.2752 0.6749

Computed properties:
Uncorrected formation energy = -0.3354 eV/atom
Space group = C2/c


Computed, not measured: a relaxed Na2PaTc2N4 crystal at the PBE level of DFT.

Cell: 5.9955 5.9955 8.5222 Å, 123.66 123.66 33.05°
Element x y z (fractional)
Na: 0.1506 0.1506 0.2500
Na: 0.8494 0.8494 0.7500
Pa: 0.0000 0.0000 0.5000
Tc: 0.3505 0.3505 0.1046
Tc: 0.6495 0.6495 0.8954
N: 0.2080 0.2080 0.8145
N: 0.4527 0.4527 0.6308
N: 0.5473 0.5473 0.3692
N: 0.7920 0.7920 0.1855

Computed properties:
Uncorrected formation energy = -0.5302 eV/atom
Space group = C2/m


Computed, not measured: a relaxed Na4Pa3TcN8 crystal at the PBE level of DFT.

Cell: 6.9523 6.9523 6.9523 Å, 59.48 59.48 59.48°
Element x y z (fractional)
Na: 0.0000 0.0000 0.0000
Na: 0.0000 0.5000 0.5000
Na: 0.5000 0.0000 0.5000
Na: 0.5000 0.5000 0.0000
Pa: 0.0000 0.0000 0.5000
Pa: 0.0000 0.5000 0.0000
Pa: 0.5000 0.0000 0.0000
Tc: 0.5000 0.5000 0.5000
N: 0.2303 0.2303 0.2303
N: 0.2431 0.7214 0.7214
N: 0.2786 0.2786 0.7569
N: 0.2786 0.7569 0.2786
N: 0.7214 0.2431 0.7214
N: 0.7214 0.7214 0.2431
N: 0.7569 0.2786 0.2786
N: 0.7697 0.7697 0.7697

Computed properties:
Uncorrected formation energy = -0.8549 eV/atom
Space group = R-3m


Computed, not measured: a relaxed NaPaTeN crystal at the PBE level of DFT.

Cell: 14.7454 14.7454 14.7454 Å, 15.61 15.61 15.61°
Element x y z (fractional)
Na: 0.2034 0.2034 0.2034
Na: 0.7966 0.7966 0.7966
Pa: 0.3651 0.3651 0.3651
Pa: 0.6349 0.6349 0.6349
Te: 0.0813 0.0813 0.0813
Te: 0.9187 0.9187 0.9187
N: 0.3143 0.3143 0.3143
N: 0.6857 0.6857 0.6857

Computed properties:
Uncorrected formation energy = -1.2156 eV/atom
Space group = R-3m


Computed, not measured: a relaxed NaThPa4N8 crystal at the PBE level of DFT.

Cell: 7.0977 7.0977 7.0977 Å, 59.60 59.60 59.60°
Element x y z (fractional)
Na: 0.0000 0.0000 0.0000
Th: 0.6219 0.6219 0.6219
Pa: 0.1123 0.6229 0.6229
Pa: 0.2426 0.2426 0.2426
Pa: 0.6229 0.1123 0.6229
Pa: 0.6229 0.6229 0.1123
N: 0.3714 0.3714 0.8488
N: 0.3714 0.8488 0.3714
N: 0.3788 0.3788 0.3788
N: 0.4426 0.8551 0.8551
N: 0.8456 0.8456 0.8456
N: 0.8488 0.3714 0.3714
N: 0.8551 0.4426 0.8551
N: 0.8551 0.8551 0.4426

Computed properties:
Uncorrected formation energy = -1.3775 eV/atom
Space group = R3m


no.,spin magnetization (μB/f.u.),density (Mg/m³)
1,0.00,8.6
2,1.97,6.9
3,0.00,6.5
4,0.00,6.1
5,0.00,6.4
6,2.01,7.0
7,0.38,6.5
8,1.09,8.6